(1)
Material: Li2H
Method: DFT, GGA-PBE
State: relaxed

```
6
Lattice="2.881 0.000 0.000 0.000 2.881 0.000 0.000 0.000 8.252" Properties=species:S:1:pos:R:3 pbc="T T T"
Li 0.000 1.441 5.154
Li 0.000 1.441 0.996
Li 1.441 0.000 3.098
Li 1.441 0.000 7.255
H 1.441 0.000 1.063
H 0.000 1.441 7.189
```

**Relative energy among the computed polymorphs**: 18 meV per atom
**Fermi-level density of states**: 0.056 states/eV/atom
**Mass density**: 0.7 g/cm3
**SG**: No. 129
**Size of the total moment**: 0.0 Bohr magnetons per cell

(2)
Material: LiH
Method: DFT, GGA-PBE
State: relaxed

```
2
Lattice="-0.939 -2.140 0.858 1.524 -1.271 -1.504 1.731 -0.042 1.789" Properties=species:S:1:pos:R:3 pbc="T T T"
Li 0.000 0.000 0.000
H 1.158 -1.727 0.572
```

**Relative energy among the computed polymorphs**: 233 meV per atom
**Mass density**: 0.9 g/cm3
**SG**: No. 221
**Size of the total moment**: 0.0 Bohr magnetons per cell

(3)
Material: Li3H2
Method: DFT, GGA-PBE
State: relaxed

```
10
Lattice="-1.451 -3.137 -3.414 3.289 -2.456 -2.598 0.557 -5.398 1.267" Properties=species:S:1:pos:R:3 pbc="T T T"
Li 1.657 -3.538 -2.022
Li 0.033 -5.568 -0.698
Li 2.780 -6.116 -1.243
Li 0.738 -7.453 -2.723
Li 2.362 -5.423 -4.047
Li -0.385 -4.875 -3.501
H 1.812 -7.283 -4.447
H 1.171 -7.186 -0.808
H 1.224 -3.805 -3.937
H 0.584 -3.708 -0.297
```

**Relative energy among the computed polymorphs**: 95 meV per atom
**Fermi-level density of states**: 0.268 states/eV/atom
**Mass density**: 0.8 g/cm3
**SG**: No. 167
**Size of the total moment**: 0.1 Bohr magnetons per cell

(4)
Material: LiH
Method: DFT, GGA-PBE
State: relaxed

```
16
Lattice="-5.021 -2.399 -1.581 -1.456 -0.619 5.565 -2.477 5.228 -0.067" Properties=species:S:1:pos:R:3 pbc="T T T"
Li -2.434 -0.061 4.397
Li -4.845 -1.265 -0.434
Li -5.125 -0.231 2.615
Li -7.504 1.852 3.283
Li -4.301 2.240 3.105
Li -3.125 3.892 0.589
Li -5.456 1.663 0.791
Li -3.027 0.747 1.324
H -5.927 1.462 2.593
H -4.109 3.474 4.352
H -5.830 -1.683 3.328
H -4.653 -0.030 0.813
H -3.830 2.440 1.303
H -1.450 0.358 0.634
H -6.520 2.270 -0.479
H -3.499 0.547 3.126
```

**Relative energy among the computed polymorphs**: 77 meV per atom
**Fermi-level density of states**: 0.000 states/eV/atom
**Mass density**: 0.5 g/cm3
**SG**: No. 217
**Size of the total moment**: 0.0 Bohr magnetons per cell

(5)
Material: LiH
Method: DFT, GGA-PBE
State: relaxed

```
4
Lattice="-0.752 -2.649 0.223 1.116 1.306 2.163 -4.424 1.378 1.451" Properties=species:S:1:pos:R:3 pbc="T T T"
H -2.824 1.021 2.605
H -1.235 -0.986 1.233
Li 0.000 0.000 0.000
Li -2.212 0.689 0.726
```

**Relative energy among the computed polymorphs**: 53 meV per atom
**Fermi-level density of states**: 0.000 states/eV/atom
**Mass density**: 0.8 g/cm3
**SG**: No. 194
**Size of the total moment**: 0.0 Bohr magnetons per cell

(6)
Material: LiH
Method: DFT, GGA-PBE
State: relaxed

```
12
Lattice="-4.354 -5.555 1.053 6.902 -0.497 1.741 -0.652 1.058 2.886" Properties=species:S:1:pos:R:3 pbc="T T T"
H 1.563 -2.850 3.963
H -0.069 -5.157 2.730
H 1.965 0.163 2.950
H 4.456 -1.481 4.115
H -2.560 -3.513 1.565
H 0.333 -2.144 1.716
Li -1.396 -2.029 1.284
Li -1.912 -5.023 2.265
Li 3.808 0.029 3.415
Li 1.013 -3.760 2.462
Li 0.883 -1.234 3.217
Li 3.293 -2.965 4.396
```

**Relative energy among the computed polymorphs**: 61 meV per atom
**Fermi-level density of states**: 0.000 states/eV/atom
**Mass density**: 0.6 g/cm3
**SG**: No. 176
**Size of the total moment**: 0.0 Bohr magnetons per cell